# 1
DFT (PBE-GGA) results for crystalline La3SnIr at its relaxed geometry.

Calculated values
- Total energy: -6.282 eV/atom
- Energy above the lowest structure with this stoichiometry: 0.000 eV per atom
- Calculated formation energy: -0.75 eV/atom

Cell and atoms, written as CIF:
```
data_La3SnIr
_cell_length_a 8.588
_cell_length_b 4.685
_cell_length_c 15.357
_cell_angle_alpha 90.00
_cell_angle_beta 90.00
_cell_angle_gamma 90.00
_symmetry_space_group_name_H-M 'P n m a'
_symmetry_Int_Tables_number 62
loop_
_symmetry_equiv_pos_as_xyz
'x,y,z'
'-x,-y,-z'
'-x+1/2,-y,z+1/2'
'x+1/2,y,-z+1/2'
'x+1/2,-y+1/2,-z+1/2'
'-x+1/2,y+1/2,z+1/2'
'-x,y+1/2,-z'
'x,-y+1/2,z'
loop_
_atom_site_label
_atom_site_type_symbol
_atom_site_fract_x
_atom_site_fract_y
_atom_site_fract_z
_atom_site_occupancy
La1 La 0.020 0.250 0.107 1
La2 La 0.146 0.250 0.509 1
La3 La 0.183 0.750 0.286 1
Sn1 Sn 0.096 0.750 0.674 1
Ir1 Ir 0.176 0.250 0.943 1
```


# 2
DFT (PBE-GGA) results for crystalline TlTc2Te at its relaxed geometry.

Calculated values
- Total energy: -5.958 eV/atom
- Energy above the lowest structure with this stoichiometry: 0.279 eV per atom

Cell and atoms, written as CIF:
```
data_TlTc2Te
_cell_length_a 3.176
_cell_length_b 4.903
_cell_length_c 4.962
_cell_angle_alpha 90.00
_cell_angle_beta 92.24
_cell_angle_gamma 90.00
_symmetry_space_group_name_H-M 'P 1 m 1'
_symmetry_Int_Tables_number 6
loop_
_symmetry_equiv_pos_as_xyz
'x,y,z'
'x,-y,z'
loop_
_atom_site_label
_atom_site_type_symbol
_atom_site_fract_x
_atom_site_fract_y
_atom_site_fract_z
_atom_site_occupancy
Tl1 Tl 0.000 0.000 0.000 1
Tc1 Tc 0.499 0.000 0.477 1
Tc2 Tc 0.972 0.500 0.305 1
Te1 Te 0.499 0.500 0.722 1
```


# 3
DFT (PBE-GGA) results for crystalline YRu2Se at its relaxed geometry.

Calculated values
- Total energy: -7.212 eV/atom

Cell and atoms, written as CIF:
```
data_YRu2Se
_cell_length_a 3.145
_cell_length_b 3.145
_cell_length_c 7.198
_cell_angle_alpha 90.00
_cell_angle_beta 90.00
_cell_angle_gamma 90.00
_symmetry_space_group_name_H-M 'P 4 m m'
_symmetry_Int_Tables_number 99
loop_
_symmetry_equiv_pos_as_xyz
'x,y,z'
'-y,x,z'
'-x,-y,z'
'y,-x,z'
'-x,y,z'
'y,x,z'
'x,-y,z'
'-y,-x,z'
loop_
_atom_site_label
_atom_site_type_symbol
_atom_site_fract_x
_atom_site_fract_y
_atom_site_fract_z
_atom_site_occupancy
Y1 Y 0.000 0.000 0.000 1
Ru1 Ru 0.000 0.000 0.489 1
Ru2 Ru 0.500 0.500 0.282 1
Se1 Se 0.500 0.500 0.716 1
```


# 4
DFT (PBE-GGA) results for crystalline LaZnCd at its relaxed geometry.

Calculated values
- Total energy: -2.708 eV/atom
- Calculated formation energy: -0.34 eV/atom

Cell and atoms, written as CIF:
```
data_LaZnCd
_cell_length_a 4.933
_cell_length_b 7.141
_cell_length_c 8.512
_cell_angle_alpha 90.00
_cell_angle_beta 90.00
_cell_angle_gamma 90.00
_symmetry_space_group_name_H-M 'I m m m'
_symmetry_Int_Tables_number 71
_symmetry_space_group_name_Hall '-I 2 2'
loop_
_atom_site_label
_atom_site_type_symbol
_atom_site_fract_x
_atom_site_fract_y
_atom_site_fract_z
_atom_site_occupancy
La1 La 0.000 0.249 0.000 1
Zn1 Zn 0.000 0.000 0.342 1
Cd1 Cd 0.000 0.500 0.327 1
```


# 5
DFT (PBE-GGA) results for crystalline CaIn3Te at its relaxed geometry.

Calculated values
- Total energy: -2.393 eV/atom
- Energy above the lowest structure with this stoichiometry: 0.000 eV per atom

Cell and atoms, written as CIF:
```
data_CaIn3Te
_cell_length_a 5.900
_cell_length_b 5.900
_cell_length_c 5.900
_cell_angle_alpha 90.00
_cell_angle_beta 90.00
_cell_angle_gamma 90.00
_symmetry_space_group_name_H-M 'P m -3 m'
_symmetry_Int_Tables_number 221
_symmetry_space_group_name_Hall '-P 4 2 3'
loop_
_atom_site_label
_atom_site_type_symbol
_atom_site_fract_x
_atom_site_fract_y
_atom_site_fract_z
_atom_site_occupancy
Ca1 Ca 0.000 0.000 0.000 1
In1 In 0.000 0.500 0.500 1
Te1 Te 0.500 0.500 0.500 1
```


# 6
DFT (PBE-GGA) results for crystalline KZr2Sb at its relaxed geometry.

Calculated values
- Total energy: -5.006 eV/atom

Cell and atoms, written as CIF:
```
data_KZr2Sb
_cell_length_a 8.666
_cell_length_b 8.666
_cell_length_c 6.262
_cell_angle_alpha 90.00
_cell_angle_beta 90.00
_cell_angle_gamma 90.00
_symmetry_space_group_name_H-M 'I -4 2 d'
_symmetry_Int_Tables_number 122
_symmetry_space_group_name_Hall 'I -4 2bw'
loop_
_atom_site_label
_atom_site_type_symbol
_atom_site_fract_x
_atom_site_fract_y
_atom_site_fract_z
_atom_site_occupancy
K1 K 0.000 0.000 0.000 1
Zr1 Zr 0.202 0.250 0.625 1
Sb1 Sb 0.000 0.000 0.500 1
```


# 7
DFT (PBE-GGA) results for crystalline SrFe2Au at its relaxed geometry.

Calculated values
- Total energy: -4.974 eV/atom
- Calculated formation energy: 0.50 eV/atom

Cell and atoms, written as CIF:
```
data_SrFe2Au
_cell_length_a 4.818
_cell_length_b 4.818
_cell_length_c 6.796
_cell_angle_alpha 90.00
_cell_angle_beta 90.00
_cell_angle_gamma 90.00
_symmetry_space_group_name_H-M 'I -4 m 2'
_symmetry_Int_Tables_number 119
_symmetry_space_group_name_Hall 'I -4 -2'
loop_
_atom_site_label
_atom_site_type_symbol
_atom_site_fract_x
_atom_site_fract_y
_atom_site_fract_z
_atom_site_occupancy
Sr1 Sr 0.000 0.000 0.000 1
Fe1 Fe 0.000 0.000 0.500 1
Fe2 Fe 0.000 0.500 0.750 1
Au1 Au 0.000 0.500 0.250 1
```


# 8
DFT (PBE-GGA) results for crystalline Dy2ZrTe at its relaxed geometry.

Calculated values
- Total energy: -5.702 eV/atom
- Energy above the lowest structure with this stoichiometry: 0.000 eV per atom

Cell and atoms, written as CIF:
```
data_Dy2ZrTe
_cell_length_a 3.811
_cell_length_b 3.811
_cell_length_c 7.451
_cell_angle_alpha 90.00
_cell_angle_beta 90.00
_cell_angle_gamma 90.00
_symmetry_space_group_name_H-M 'P 4/m m m'
_symmetry_Int_Tables_number 123
_symmetry_space_group_name_Hall '-P 4 2'
loop_
_atom_site_label
_atom_site_type_symbol
_atom_site_fract_x
_atom_site_fract_y
_atom_site_fract_z
_atom_site_occupancy
Dy1 Dy 0.000 0.000 0.238 1
Zr1 Zr 0.500 0.500 0.500 1
Te1 Te 0.500 0.500 0.000 1
```